Entry 1:
# Cs2RbSeF

Cs2RbSeF after structural relaxation (PBE-GGA, Alexandria).

Volume, Å³ per atom: 43.83
Uncorrected formation energy, meV/atom: -1570.0
Electronic total energy, eV per atom: -3.1761

```
Cs2RbSeF
1.0
4.8570 0.0000 0.0000
-2.4285 8.3545 0.0000
0.0000 0.0000 10.8012
Cs Rb Se F
4 2 2 2
Direct
0.3418 0.6835 0.0656
0.6582 0.3165 0.5656
0.3418 0.6835 0.4344
0.6582 0.3165 0.9344
0.9166 0.8332 0.7500
0.0834 0.1668 0.2500
0.7298 0.4595 0.2500
0.2702 0.5405 0.7500
0.5000 0.0000 0.5000
0.5000 0.0000 0.0000
```


Entry 2:
# CsRb2SeF6

CsRb2SeF6 after structural relaxation (PBE-GGA, Alexandria).

Volume, Å³ per atom: 24.23
Uncorrected formation energy, meV/atom: -2167.6
Electronic total energy, eV per atom: -3.9177

```
CsRb2SeF6
1.0
6.6875 0.0000 0.0000
0.0000 6.6875 0.0000
3.3438 3.3438 5.4185
Cs Se Rb F
1 1 2 6
Direct
0.0000 0.0000 0.0000
0.5000 0.5000 0.0000
0.7500 0.2500 0.5000
0.2500 0.7500 0.5000
0.2580 0.2580 0.4841
0.7420 0.7420 0.5159
0.2928 0.2928 0.0000
0.7072 0.7072 0.0000
0.7072 0.2928 0.0000
0.2928 0.7072 0.0000
```


Entry 3:
# CsRb2SeF

CsRb2SeF after structural relaxation (PBE-GGA, Alexandria).

Volume, Å³ per atom: 38.99
Uncorrected formation energy, meV/atom: -1621.8
Electronic total energy, eV per atom: -3.2507

```
CsRb2SeF
1.0
4.8524 0.0000 0.0000
-2.4262 7.9204 0.0000
0.0000 0.0000 10.1459
Cs Rb Se F
2 4 2 2
Direct
0.4381 0.8762 0.7500
0.5619 0.1238 0.2500
0.1616 0.3231 0.9369
0.8384 0.6769 0.0631
0.1616 0.3231 0.5631
0.8384 0.6769 0.4369
0.7576 0.5152 0.7500
0.2424 0.4848 0.2500
0.0000 0.0000 0.0000
0.0000 0.0000 0.5000
```